# GGA-PBE Y2Ge4Ir3Au, optimized geometry
# Calculated total energy = -6.775 eV/atom
# Theoretical density = 11019 kg/m3
# ΔE_f = -650 meV/atom
data_Y2Ge4Ir3Au
_chemical_formula_sum 'Y2 Ge4 Ir3 Au1'
_cell_length_a 4.2756
_cell_length_b 4.2756
_cell_length_c 10.2382
_cell_angle_alpha 90.00
_cell_angle_beta 90.00
_cell_angle_gamma 90.00
_symmetry_space_group_name_H-M 'P -4 m 2'
_symmetry_Int_Tables_number 115
loop_
_symmetry_equiv_pos_as_xyz
'x,y,z'
'y,-x,-z'
'-x,-y,z'
'-y,x,-z'
'-x,y,z'
'-y,-x,-z'
'x,-y,z'
'y,x,-z'
loop_
_atom_site_label
_atom_site_fract_x
_atom_site_fract_y
_atom_site_fract_z
Y1 0.0000 0.5000 0.2370
Ge1 0.0000 0.0000 0.0000
Ge2 0.0000 0.5000 0.6409
Ge3 0.5000 0.5000 0.0000
Ir1 0.0000 0.5000 0.8756
Ir2 0.5000 0.5000 0.5000
Au1 0.0000 0.0000 0.5000


# GGA-PBE HfMoSI2, optimized geometry
# ΔE_f (raw) = 0.685 eV/atom
# Calculated total energy = -4.917 eV/atom
# Theoretical density = 6757 kg/m3
data_HfMoSI2
_chemical_formula_sum 'Hf1 Mo1 S1 I2'
_cell_length_a 5.5637
_cell_length_b 5.5637
_cell_length_c 4.4484
_cell_angle_alpha 90.00
_cell_angle_beta 90.00
_cell_angle_gamma 90.00
_symmetry_space_group_name_H-M 'P 4/m m m'
_symmetry_Int_Tables_number 123
_symmetry_space_group_name_Hall '-P 4 2'
loop_
_atom_site_label
_atom_site_fract_x
_atom_site_fract_y
_atom_site_fract_z
Hf1 0.0000 0.0000 0.0000
Mo1 0.5000 0.5000 0.5000
S1 0.5000 0.5000 0.0000
I1 0.0000 0.5000 0.5000


# GGA-PBE DyEr, optimized geometry
# Calculated total energy = -4.576 eV/atom
# Theoretical density = 8783 kg/m3
# ΔE_f = 7 meV/atom
# Polymorph energy (0 for the lowest one) = 5 meV per atom
data_DyEr
_chemical_formula_sum 'Dy1 Er1'
_cell_length_a 3.5863
_cell_length_b 3.5863
_cell_length_c 5.5972
_cell_angle_alpha 90.00
_cell_angle_beta 90.00
_cell_angle_gamma 120.00
_symmetry_space_group_name_H-M 'P -6 m 2'
_symmetry_Int_Tables_number 187
_symmetry_space_group_name_Hall 'P -6 2'
loop_
_atom_site_label
_atom_site_fract_x
_atom_site_fract_y
_atom_site_fract_z
Dy1 0.0000 0.0000 0.0000
Er1 0.6667 0.3333 0.5000